[1]
VASP calculation (GGA-PBE) on Fe7Pt6 after structural relaxation.

The calculation puts the total energy at -97.3 eV for the cell shown. The spin magnetization comes out at 21.50 μB/cell. As for the formation energy from the elements: -0.141 eV per atom.

POSCAR file:
```
Fe7Pt6
1.0
-7.554 -2.897 4.346
-5.514 -6.903 2.507
-3.847 -5.016 6.661
Pt Fe
6 7
direct
0.951 0.951 0.951 Pt
0.049 0.049 0.049 Pt
0.667 0.667 0.667 Pt
0.846 0.846 0.846 Pt
0.154 0.154 0.154 Pt
0.333 0.333 0.333 Pt
0.590 0.590 0.088 Fe
0.500 0.500 0.500 Fe
0.410 0.912 0.410 Fe
0.590 0.088 0.590 Fe
0.410 0.410 0.912 Fe
0.912 0.410 0.410 Fe
0.088 0.590 0.590 Fe
```


[2]
VASP calculation (GGA-PBE) on Hf5MnCo6 after structural relaxation.

The calculation puts the total energy at -105.6 eV for the cell shown. The spin magnetization comes out at 8.00 μB/cell. As for the formation energy from the elements: -0.337 eV per atom.

POSCAR file:
```
Hf5MnCo6
1.0
-2.672 -1.658 -3.064
0.380 -5.644 2.719
-4.078 5.113 3.937
Co Hf Mn
6 5 1
direct
0.833 0.580 0.666 Co
0.833 0.086 0.666 Co
0.500 0.257 0.000 Co
0.167 0.914 0.334 Co
0.500 0.743 0.000 Co
0.167 0.420 0.334 Co
0.657 0.157 0.314 Hf
0.343 0.843 0.686 Hf
0.000 0.500 0.000 Hf
0.330 0.330 0.660 Hf
0.670 0.670 0.340 Hf
0.000 0.000 0.000 Mn
```


[3]
VASP calculation (GGA-PBE) on Y2Zn2Ga after structural relaxation.

The calculation puts the total energy at -18.9 eV for the cell shown. The spin magnetization comes out at 0.01 μB/cell. As for the formation energy from the elements: -0.083 eV per atom.

POSCAR file:
```
Y2Zn2Ga
1.0
5.697 0.000 0.000
0.000 5.697 0.000
2.849 2.849 3.652
Zn Ga Y
2 1 2
direct
0.657 0.657 0.686 Zn
0.343 0.343 0.314 Zn
0.000 0.000 0.000 Ga
0.250 0.750 0.500 Y
0.750 0.250 0.500 Y
```


[4]
VASP calculation (GGA-PBE) on Ca5ZnGa2 after structural relaxation.

The calculation puts the total energy at -39.6 eV for the cell shown. The spin magnetization comes out at 0.00 μB/cell. As for the formation energy from the elements: -0.309 eV per atom.

POSCAR file:
```
Ca5ZnGa2
1.0
1.790 3.002 -7.179
7.264 -3.286 0.438
-7.132 -6.048 0.132
Zn Ga Ca
2 4 10
direct
0.750 0.750 0.500 Zn
0.250 0.250 0.500 Zn
0.616 0.116 0.000 Ga
0.384 0.884 0.000 Ga
0.116 0.384 0.000 Ga
0.884 0.616 0.000 Ga
0.500 0.500 0.000 Ca
0.185 0.029 0.714 Ca
0.529 0.685 0.714 Ca
0.000 0.000 0.000 Ca
0.029 0.529 0.714 Ca
0.815 0.971 0.286 Ca
0.315 0.815 0.286 Ca
0.685 0.185 0.714 Ca
0.971 0.471 0.286 Ca
0.471 0.315 0.286 Ca
```